# 1
InRu (GGA-PBE, optimized geometry); energy of formation from the pure elements = 0.3668 eV/atom; SG = P-3m1, No. 164; theoretical density = 9.83 g cm⁻³; M_tot = 0.0 μB per formula unit
1.0
3.008 0.000 0.000
-1.504 2.605 0.000
0.000 0.000 9.304
In Ru
2 2
direct
0.000 0.000 0.972 In
0.667 0.333 0.278 In
0.000 0.000 0.521 Ru
0.667 0.333 0.729 Ru

# 2
BeSbOs4 (GGA-PBE, optimized geometry); total DFT energy (no corrections) = -0.28765 Ha/atom; SG = F-43m, No. 216; theoretical density = 14.79 g cm⁻³; M_tot = 0.0 μB per formula unit
1.0
0.000 3.685 3.685
3.685 0.000 3.685
3.685 3.685 0.000
Be Sb Os
1 1 4
direct
0.000 0.000 0.000 Be
0.750 0.750 0.750 Sb
0.876 0.375 0.375 Os
0.375 0.375 0.876 Os
0.375 0.876 0.375 Os
0.375 0.375 0.375 Os

# 3
Pm2NiSn2Ir (GGA-PBE, optimized geometry); energy of formation from the pure elements = -0.6295 eV/atom; SG = Ibam, No. 72; theoretical density = 9.16 g cm⁻³; M_tot = 0.0 μB per formula unit
1.0
6.402 0.000 0.000
0.000 6.311 0.000
-3.201 -3.155 6.985
Pm Ni Sn Ir
4 2 4 2
direct
0.388 0.149 0.299 Pm
0.612 0.851 0.701 Pm
0.089 0.351 0.701 Pm
0.911 0.649 0.299 Pm
0.500 0.750 0.000 Ni
0.500 0.250 0.000 Ni
0.838 0.107 0.214 Sn
0.376 0.607 0.214 Sn
0.624 0.393 0.786 Sn
0.162 0.893 0.786 Sn
0.000 0.750 0.000 Ir
0.000 0.250 0.000 Ir

# 4
ZrTl3V2Se6 (GGA-PBE, optimized geometry); total DFT energy (no corrections) = -0.19455 Ha/atom; SG = C2/m, No. 12; theoretical density = 7.18 g cm⁻³; M_tot = 4.1 μB per formula unit
1.0
6.434 -0.085 -0.805
-3.289 5.530 -0.805
-2.145 -3.714 9.487
Zr Tl V Se
1 3 2 6
direct
0.000 0.000 0.000 Zr
0.166 0.834 0.500 Tl
0.834 0.166 0.500 Tl
0.500 0.500 0.500 Tl
0.333 0.667 0.000 V
0.667 0.333 0.000 V
0.815 0.467 0.816 Se
0.837 0.837 0.184 Se
0.185 0.533 0.184 Se
0.467 0.815 0.816 Se
0.163 0.163 0.816 Se
0.533 0.185 0.184 Se

# 5
RbMgTl2In (GGA-PBE, optimized geometry); energy of formation from the pure elements = -0.0661 eV/atom; SG = Pmma, No. 51; theoretical density = 6.15 g cm⁻³; M_tot = 0.0 μB per formula unit
1.0
-3.190 2.784 5.741
-5.020 -2.995 -1.337
2.519 -6.187 4.400
Rb Mg Tl In
2 2 4 2
direct
0.218 0.250 0.500 Rb
0.782 0.750 0.500 Rb
0.000 0.000 0.000 Mg
0.000 0.500 0.000 Mg
0.702 0.250 0.769 Tl
0.702 0.250 0.231 Tl
0.298 0.750 0.769 Tl
0.298 0.750 0.231 Tl
0.637 0.750 0.000 In
0.363 0.250 0.000 In

# 6
ZnReTe3 (GGA-PBE, optimized geometry); SG = Pm-3m, No. 221; theoretical density = 7.12 g cm⁻³; offset from the most stable computed form = 0 meV/atom; M_tot = 0.0 μB per formula unit
1.0
-3.431 3.576 1.851
-3.097 -3.898 1.789
2.573 0.077 4.621
Re Zn Te
1 1 3
direct
0.000 0.000 0.000 Re
0.500 0.500 0.500 Zn
0.000 0.500 0.000 Te
0.000 0.000 0.500 Te
0.500 0.000 0.000 Te

# 7
Cs2Bi2Ru (GGA-PBE, optimized geometry); energy of formation from the pure elements = 0.1193 eV/atom; SG = P4/mbm, No. 127; theoretical density = 7.40 g cm⁻³; M_tot = 0.0 μB per formula unit
1.0
7.306 0.000 0.000
0.000 7.306 0.000
0.000 0.000 6.598
Cs Ru Bi
4 2 4
direct
0.177 0.677 0.500 Cs
0.677 0.823 0.500 Cs
0.823 0.323 0.500 Cs
0.323 0.177 0.500 Cs
0.000 0.000 0.000 Ru
0.500 0.500 0.000 Ru
0.346 0.846 0.000 Bi
0.846 0.654 0.000 Bi
0.654 0.154 0.000 Bi
0.154 0.346 0.000 Bi

# 8
La2Nd3ThSe6 (GGA-PBE, optimized geometry); total DFT energy (no corrections) = -0.22824 Ha/atom; SG = C2/m, No. 12; theoretical density = 7.21 g cm⁻³; M_tot = 0.0 μB per formula unit
1.0
4.253 0.000 0.000
0.000 8.507 0.300
-2.126 -2.454 8.931
La Nd Th Se
2 3 1 6
direct
0.835 0.669 0.671 La
0.165 0.331 0.329 La
0.500 0.500 0.000 Nd
0.833 0.165 0.666 Nd
0.167 0.835 0.334 Nd
0.500 0.000 0.000 Th
0.334 0.920 0.667 Se
0.667 0.586 0.333 Se
0.666 0.080 0.333 Se
0.998 0.249 0.995 Se
0.002 0.751 0.005 Se
0.333 0.414 0.667 Se